# 1
{"formula": "KTeIr2", "functional": "GGA-PBE", "state": "relaxed", "lattice_angstrom": [[2.943, 0.000, 0.000], [0.000, 4.787, 0.000], [-0.811, 0.000, 6.409]], "species": ["K", "Te", "Ir", "Ir"], "frac_coords": [[0.000, 0.000, 0.000], [0.500, 0.000, 0.500], [0.305, 0.500, 0.673], [0.695, 0.500, 0.327]], "formation_energy_uncorrected_ev_per_atom": 0.67, "spacegroup": "P2/m, No. 10"}

---

# 2
{"formula": "MgZrTc2", "functional": "GGA-PBE", "state": "relaxed", "lattice_angstrom": [[4.457, 0.000, 0.000], [0.000, 4.457, 0.000], [0.000, 0.000, 3.415]], "species": ["Mg", "Zr", "Tc", "Tc"], "frac_coords": [[0.000, 0.000, 0.000], [0.500, 0.500, 0.000], [0.000, 0.500, 0.500], [0.500, 0.000, 0.500]], "e_form_ev_per_atom": 0.11, "spacegroup": "P4/mmm, No. 123"}

---

# 3
{"formula": "BeRe3", "functional": "GGA-PBE", "state": "relaxed", "lattice_angstrom": [[-1.889, 1.889, 3.882], [1.889, -1.889, 3.882], [1.889, 1.889, -3.882]], "species": ["Be", "Re", "Re", "Re"], "frac_coords": [[0.000, 0.000, 0.000], [0.250, 0.750, 0.500], [0.500, 0.500, 0.000], [0.750, 0.250, 0.500]], "relative_energy_kj_per_mol_fu": 105, "e_form_ev_per_atom": 0.21, "spacegroup": "I4/mmm, No. 139"}

---

# 4
{"formula": "SbAs2SeBr", "functional": "GGA-PBE", "state": "relaxed", "lattice_angstrom": [[5.186, 0.000, 0.000], [0.000, 5.186, 0.000], [0.000, 0.000, 4.999]], "species": ["Sb", "As", "As", "Se", "Br"], "frac_coords": [[0.000, 0.000, 0.000], [0.000, 0.500, 0.500], [0.500, 0.000, 0.500], [0.500, 0.500, 0.500], [0.500, 0.500, 0.000]], "formation_energy_uncorrected_ev_per_atom": 0.68, "relative_energy_kj_per_mol_fu": 0, "spacegroup": "P4/mmm, No. 123"}

---

# 5
{"formula": "NdMgAu3", "functional": "GGA-PBE", "state": "relaxed", "lattice_angstrom": [[6.676, 0.000, 0.000], [-3.338, 5.782, 0.000], [0.000, 0.000, 11.969]], "species": ["Nd", "Nd", "Nd", "Nd", "Mg", "Mg", "Mg", "Mg", "Au", "Au", "Au", "Au", "Au", "Au", "Au", "Au", "Au", "Au", "Au", "Au"], "frac_coords": [[0.000, 0.000, 0.000], [0.000, 0.000, 0.500], [0.333, 0.667, 0.250], [0.667, 0.333, 0.750], [0.333, 0.667, 0.639], [0.333, 0.667, 0.861], [0.667, 0.333, 0.139], [0.667, 0.333, 0.361], [0.000, 0.500, 0.000], [0.000, 0.500, 0.500], [0.137, 0.274, 0.750], [0.137, 0.863, 0.750], [0.274, 0.137, 0.250], [0.500, 0.000, 0.000], [0.500, 0.000, 0.500], [0.500, 0.500, 0.000], [0.500, 0.500, 0.500], [0.726, 0.863, 0.750], [0.863, 0.137, 0.250], [0.863, 0.726, 0.250]], "e_form_ev_per_atom": -0.45, "spacegroup": "P6_3/mmc, No. 194"}

---

# 6
{"formula": "Rb2Cd15In2", "functional": "GGA-PBE", "state": "relaxed", "lattice_angstrom": [[5.314, 3.068, 5.061], [-5.314, 3.068, 5.061], [0.000, -6.136, 5.061]], "species": ["Rb", "Rb", "Cd", "Cd", "Cd", "Cd", "Cd", "Cd", "Cd", "Cd", "Cd", "Cd", "Cd", "Cd", "Cd", "Cd", "Cd", "In", "In"], "frac_coords": [[0.159, 0.159, 0.159], [0.841, 0.841, 0.841], [0.000, 0.500, 0.500], [0.146, 0.146, 0.660], [0.146, 0.660, 0.146], [0.200, 0.500, 0.800], [0.200, 0.800, 0.500], [0.340, 0.854, 0.854], [0.500, 0.000, 0.500], [0.500, 0.200, 0.800], [0.500, 0.500, 0.000], [0.500, 0.800, 0.200], [0.660, 0.146, 0.146], [0.800, 0.200, 0.500], [0.800, 0.500, 0.200], [0.854, 0.340, 0.854], [0.854, 0.854, 0.340], [0.399, 0.399, 0.399], [0.601, 0.601, 0.601]], "e_form_ev_per_atom": -0.05, "spacegroup": "R-3m, No. 166"}

---

# 7
{"formula": "Ce2MgAu6", "functional": "GGA-PBE", "state": "relaxed", "lattice_angstrom": [[6.459, 0.000, 0.000], [-3.229, 5.593, 0.000], [0.000, 0.000, 5.507]], "species": ["Ce", "Ce", "Mg", "Au", "Au", "Au", "Au", "Au", "Au"], "frac_coords": [[0.333, 0.667, 0.326], [0.667, 0.333, 0.674], [0.000, 0.000, 0.500], [0.183, 0.367, 0.813], [0.183, 0.817, 0.813], [0.367, 0.183, 0.187], [0.633, 0.817, 0.813], [0.817, 0.183, 0.187], [0.817, 0.633, 0.187]], "e_form_ev_per_atom": -0.56, "spacegroup": "P-3m1, No. 164"}

---

# 8
{"formula": "La2NdPa", "functional": "GGA-PBE", "state": "relaxed", "lattice_angstrom": [[1.698, 0.981, 12.708], [-1.698, 0.981, 12.708], [0.000, -1.961, 12.708]], "species": ["La", "La", "Nd", "Pa"], "frac_coords": [[0.083, 0.083, 0.083], [0.917, 0.917, 0.917], [0.500, 0.500, 0.500], [0.000, 0.000, 0.000]], "relative_energy_kj_per_mol_fu": 70, "e_form_ev_per_atom": 0.31, "spacegroup": "R-3m, No. 166"}

---

# 9
{"formula": "Pm4Ho5Er3", "functional": "GGA-PBE", "state": "relaxed", "lattice_angstrom": [[8.026, -2.948, 0.000], [8.026, 2.948, 0.000], [-4.188, 0.000, 8.338]], "species": ["Pm", "Pm", "Pm", "Pm", "Ho", "Ho", "Ho", "Ho", "Ho", "Er", "Er", "Er"], "frac_coords": [[0.084, 0.084, 0.445], [0.216, 0.216, 0.881], [0.784, 0.784, 0.119], [0.916, 0.916, 0.555], [0.000, 0.000, 0.000], [0.329, 0.329, 0.616], [0.429, 0.429, 0.298], [0.571, 0.571, 0.702], [0.671, 0.671, 0.384], [0.212, 0.212, 0.236], [0.500, 0.500, 0.000], [0.788, 0.788, 0.764]], "e_form_ev_per_atom": 0.23, "spacegroup": "C2/m, No. 12"}

---

# 10
{"formula": "RbMgN2O", "functional": "GGA-PBE", "state": "relaxed", "lattice_angstrom": [[4.515, 0.000, 0.000], [0.000, 4.515, 0.000], [0.000, 0.000, 4.060]], "species": ["Rb", "Mg", "N", "N", "O"], "frac_coords": [[0.000, 0.000, 0.000], [0.500, 0.500, 0.500], [0.000, 0.500, 0.500], [0.500, 0.000, 0.500], [0.500, 0.500, 0.000]], "formation_energy_uncorrected_ev_per_atom": 0.57, "spacegroup": "P4/mmm, No. 123"}

---

# 11
{"formula": "CuMoHRu2", "functional": "GGA-PBE", "state": "relaxed", "lattice_angstrom": [[3.895, 0.000, 0.000], [0.000, 3.895, 0.000], [0.000, 0.000, 3.870]], "species": ["Cu", "Mo", "H", "Ru", "Ru"], "frac_coords": [[0.000, 0.000, 0.000], [0.500, 0.500, 0.000], [0.500, 0.500, 0.500], [0.000, 0.500, 0.500], [0.500, 0.000, 0.500]], "relative_energy_kj_per_mol_fu": 16, "spacegroup": "P4/mmm, No. 123"}

---

# 12
{"formula": "TbZr2Mn", "functional": "GGA-PBE", "state": "relaxed", "lattice_angstrom": [[3.240, 0.000, 0.000], [0.000, 3.240, 0.000], [0.000, 0.000, 8.298]], "species": ["Tb", "Zr", "Zr", "Mn"], "frac_coords": [[0.000, 0.000, 0.000], [0.500, 0.500, 0.317], [0.500, 0.500, 0.683], [0.000, 0.000, 0.500]], "relative_energy_kj_per_mol_fu": 0, "e_form_ev_per_atom": 0.09, "spacegroup": "P4/mmm, No. 123"}

---

# 13
{"formula": "Nb2InF", "functional": "GGA-PBE", "state": "relaxed", "lattice_angstrom": [[0.000, 3.271, 3.271], [3.271, 0.000, 3.271], [3.271, 3.271, 0.000]], "species": ["Nb", "Nb", "In", "F"], "frac_coords": [[0.250, 0.250, 0.250], [0.750, 0.750, 0.750], [0.000, 0.000, 0.000], [0.500, 0.500, 0.500]], "formation_energy_uncorrected_ev_per_atom": 0.05, "relative_energy_kj_per_mol_fu": 0, "spacegroup": "Fm-3m, No. 225"}

---

# 14
{"formula": "NaZn5Au2", "functional": "GGA-PBE", "state": "relaxed", "lattice_angstrom": [[-1.800, 4.002, 5.095], [1.800, -4.002, 5.095], [1.800, 4.002, -5.095]], "species": ["Na", "Zn", "Zn", "Zn", "Zn", "Zn", "Au", "Au"], "frac_coords": [[0.000, 0.000, 0.000], [0.163, 0.367, 0.796], [0.429, 0.633, 0.796], [0.500, 0.000, 0.500], [0.571, 0.367, 0.204], [0.837, 0.633, 0.204], [0.242, 0.742, 0.500], [0.758, 0.258, 0.500]], "e_form_ev_per_atom": -0.14, "spacegroup": "Immm, No. 71"}

---

# 15
{"formula": "Ga2HgI", "functional": "GGA-PBE", "state": "relaxed", "lattice_angstrom": [[3.940, 0.000, 0.000], [0.000, 3.940, 0.000], [0.000, 0.000, 7.041]], "species": ["Ga", "Ga", "Hg", "I"], "frac_coords": [[0.000, 0.000, 0.214], [0.000, 0.000, 0.786], [0.500, 0.500, 0.000], [0.500, 0.500, 0.500]], "formation_energy_uncorrected_ev_per_atom": -0.01, "relative_energy_kj_per_mol_fu": 7, "spacegroup": "P4/mmm, No. 123"}

---

# 16
{"formula": "KNaNF2", "functional": "GGA-PBE", "state": "relaxed", "lattice_angstrom": [[4.466, 0.000, 0.000], [0.000, 4.466, 0.000], [0.000, 0.000, 4.513]], "species": ["K", "Na", "N", "F", "F"], "frac_coords": [[0.000, 0.000, 0.000], [0.500, 0.500, 0.500], [0.500, 0.500, 0.000], [0.000, 0.500, 0.500], [0.500, 0.000, 0.500]], "formation_energy_uncorrected_ev_per_atom": -0.92, "relative_energy_kj_per_mol_fu": 0, "spacegroup": "P4/mmm, No. 123"}

---

# 17
{"formula": "DyAl3Ag3", "functional": "GGA-PBE", "state": "relaxed", "lattice_angstrom": [[4.031, 2.327, 5.242], [-4.031, 2.327, 5.242], [0.000, -4.655, 5.242]], "species": ["Dy", "Dy", "Al", "Al", "Al", "Al", "Al", "Al", "Ag", "Ag", "Ag", "Ag", "Ag", "Ag"], "frac_coords": [[0.178, 0.178, 0.178], [0.822, 0.822, 0.822], [0.051, 0.711, 0.370], [0.289, 0.630, 0.949], [0.370, 0.051, 0.711], [0.630, 0.949, 0.289], [0.711, 0.370, 0.051], [0.949, 0.289, 0.630], [0.161, 0.442, 0.740], [0.260, 0.839, 0.558], [0.442, 0.740, 0.161], [0.558, 0.260, 0.839], [0.740, 0.161, 0.442], [0.839, 0.558, 0.260]], "relative_energy_kj_per_mol_fu": 0, "e_form_ev_per_atom": -0.09, "spacegroup": "R-3, No. 148"}

---

# 18
{"formula": "Ta2Te4WSe2", "functional": "GGA-PBE", "state": "relaxed", "lattice_angstrom": [[3.548, 0.000, 0.000], [-1.774, 3.073, 0.000], [0.000, 0.000, 22.475]], "species": ["Ta", "Ta", "Te", "Te", "Te", "Te", "W", "Se", "Se"], "frac_coords": [[0.000, 0.000, 0.000], [0.333, 0.667, 0.327], [0.000, 0.000, 0.242], [0.000, 0.000, 0.411], [0.333, 0.667, 0.084], [0.333, 0.667, 0.915], [0.333, 0.667, 0.678], [0.000, 0.000, 0.607], [0.000, 0.000, 0.750]], "formation_energy_uncorrected_ev_per_atom": -0.34, "spacegroup": "P3m1, No. 156"}

---

# 19
{"formula": "Sb2RuRh", "functional": "GGA-PBE", "state": "relaxed", "lattice_angstrom": [[1.617, 0.933, 8.102], [-1.617, 0.933, 8.102], [0.000, -1.867, 8.102]], "species": ["Sb", "Sb", "Ru", "Rh"], "frac_coords": [[0.249, 0.249, 0.249], [0.751, 0.751, 0.751], [0.500, 0.500, 0.500], [0.000, 0.000, 0.000]], "formation_energy_uncorrected_ev_per_atom": -0.05, "relative_energy_kj_per_mol_fu": 45, "spacegroup": "R-3m, No. 166"}

---

# 20
{"formula": "LiDyTlIn", "functional": "GGA-PBE", "state": "relaxed", "lattice_angstrom": [[0.000, 3.645, 3.645], [3.645, 0.000, 3.645], [3.645, 3.645, 0.000]], "species": ["Li", "Dy", "Tl", "In"], "frac_coords": [[0.000, 0.000, 0.000], [0.500, 0.500, 0.500], [0.250, 0.250, 0.250], [0.750, 0.750, 0.750]], "e_form_ev_per_atom": -0.34, "spacegroup": "F-43m, No. 216"}

---

# 21
{"formula": "CsGaSi3", "functional": "GGA-PBE", "state": "relaxed", "lattice_angstrom": [[5.664, 0.000, 0.000], [0.000, 5.664, 0.000], [0.000, 0.000, 5.664]], "species": ["Cs", "Ga", "Si", "Si", "Si"], "frac_coords": [[0.000, 0.000, 0.000], [0.500, 0.500, 0.500], [0.000, 0.000, 0.500], [0.000, 0.500, 0.000], [0.500, 0.000, 0.000]], "formation_energy_uncorrected_ev_per_atom": 2.16, "relative_energy_kj_per_mol_fu": 639, "spacegroup": "Pm-3m, No. 221"}

---

# 22
{"formula": "Sm3CdSn", "functional": "GGA-PBE", "state": "relaxed", "lattice_angstrom": [[4.380, 0.000, 0.000], [0.000, 6.726, 0.000], [0.000, 0.000, 10.750]], "species": ["Sm", "Sm", "Sm", "Sm", "Sm", "Sm", "Cd", "Cd", "Sn", "Sn"], "frac_coords": [[0.250, 0.013, 0.201], [0.250, 0.250, 0.574], [0.250, 0.487, 0.201], [0.750, 0.513, 0.799], [0.750, 0.750, 0.426], [0.750, 0.987, 0.799], [0.250, 0.250, 0.942], [0.750, 0.750, 0.058], [0.250, 0.750, 0.634], [0.750, 0.250, 0.366]], "e_form_ev_per_atom": -0.31, "spacegroup": "Pmmn, No. 59"}

---

# 23
{"formula": "SrCaMg2", "functional": "GGA-PBE", "state": "relaxed", "lattice_angstrom": [[-2.808, 2.808, 4.079], [2.808, -2.808, 4.079], [2.808, 2.808, -4.079]], "species": ["Sr", "Ca", "Mg", "Mg"], "frac_coords": [[0.000, 0.000, 0.000], [0.250, 0.750, 0.500], [0.500, 0.500, 0.000], [0.750, 0.250, 0.500]], "e_form_ev_per_atom": 0.01, "spacegroup": "I-4m2, No. 119"}

---

# 24
{"formula": "Y2HoMnS6", "functional": "GGA-PBE", "state": "relaxed", "lattice_angstrom": [[6.590, 0.000, 0.000], [3.124, 5.945, 0.000], [0.018, 3.694, 5.988]], "species": ["Y", "Y", "Ho", "Mn", "S", "S", "S", "S", "S", "S"], "frac_coords": [[0.000, 0.000, 0.000], [0.497, 0.002, 0.511], [0.703, 0.585, 0.113], [0.197, 0.597, 0.598], [0.098, 0.493, 0.337], [0.305, 0.743, 0.812], [0.406, 0.754, 0.340], [0.576, 0.097, 0.831], [0.818, 0.090, 0.319], [0.930, 0.498, 0.802]], "formation_energy_uncorrected_ev_per_atom": -1.61, "spacegroup": "P1, No. 1"}

---

# 25
{"formula": "LuMg2Zn", "functional": "GGA-PBE", "state": "relaxed", "lattice_angstrom": [[3.283, 0.000, 0.000], [0.000, 3.283, 0.000], [0.000, 0.000, 8.178]], "species": ["Lu", "Mg", "Mg", "Zn"], "frac_coords": [[0.000, 0.000, 0.000], [0.500, 0.500, 0.293], [0.500, 0.500, 0.707], [0.000, 0.000, 0.500]], "relative_energy_kj_per_mol_fu": 16, "e_form_ev_per_atom": -0.07, "spacegroup": "P4/mmm, No. 123"}

---

# 26
{"formula": "ZnS", "functional": "GGA-PBE", "state": "relaxed", "lattice_angstrom": [[3.848, 0.000, 0.000], [-1.924, 3.333, 0.000], [0.000, 0.000, 12.594]], "species": ["Zn", "Zn", "Zn", "Zn", "S", "S", "S", "S"], "frac_coords": [[0.000, 0.000, 0.000], [0.000, 0.000, 0.500], [0.333, 0.667, 0.250], [0.667, 0.333, 0.750], [0.000, 0.000, 0.187], [0.000, 0.000, 0.687], [0.333, 0.667, 0.438], [0.667, 0.333, 0.938]], "formation_energy_uncorrected_ev_per_atom": -0.81, "spacegroup": "P6_3mc, No. 186"}

---

Number 1: magnetic moment 0.0 Bohr magnetons per cell. Number 2: magnetic moment 0.5 Bohr magnetons per cell. Number 3: magnetic moment 0.0 Bohr magnetons per cell. Number 4: magnetic moment 0.0 Bohr magnetons per cell. Number 5: magnetic moment 0.0 Bohr magnetons per cell. Number 6: magnetic moment 0.0 Bohr magnetons per cell. Number 7: magnetic moment 1.9 Bohr magnetons per cell. Number 8: magnetic moment 0.0 Bohr magnetons per cell. Number 9: magnetic moment 0.6 Bohr magnetons per cell. Number 10: magnetic moment 5.0 Bohr magnetons per cell. Number 11: magnetic moment 0.0 Bohr magnetons per cell. Number 12: magnetic moment 0.0 Bohr magnetons per cell. Number 13: magnetic moment 0.0 Bohr magnetons per cell. Number 14: magnetic moment 0.0 Bohr magnetons per cell. Number 15: magnetic moment 0.0 Bohr magnetons per cell. Number 16: magnetic moment 3.0 Bohr magnetons per cell. Number 17: magnetic moment 0.0 Bohr magnetons per cell. Number 18: magnetic moment 0.0 Bohr magnetons per cell. Number 19: magnetic moment 0.0 Bohr magnetons per cell. Number 20: magnetic moment 0.0 Bohr magnetons per cell. Number 21: magnetic moment 0.0 Bohr magnetons per cell. Number 22: magnetic moment 0.0 Bohr magnetons per cell. Number 23: magnetic moment 0.0 Bohr magnetons per cell. Number 24: magnetic moment 4.0 Bohr magnetons per cell. Number 25: magnetic moment 0.0 Bohr magnetons per cell. Number 26: magnetic moment 0.0 Bohr magnetons per cell.